1.
A geometry-optimized TiRuRh2 structure, computed with PBE.

Cell: 9.8905 2.7808 4.7393 Å, 90.00 118.19 90.00°
Closest atoms and distances in Å follow each position.
Space group Cm (No. 8)
One atom of each set of equivalent atoms:
Ti (0.0000, 0.0000, 0.0000)  7 Rh 2.68-2.78, 3 Ru 2.68-2.71, 2 Ti 2.78
Ru (0.2515, 0.0000, 0.5748)  3 Ti 2.68-2.71, 7 Rh 2.68-2.77, 2 Ru 2.78
Rh (0.0037, 0.5000, 0.4952)  5 Rh 2.68-2.78, 3 Ru 2.68-2.69, 4 Ti 2.71-2.78
Rh (0.2489, 0.5000, 0.0775)  3 Ti 2.68-2.70, 5 Rh 2.68-2.78, 4 Ru 2.73-2.77

Summary:
**DFT formation energy**: -0.411 eV per atom
**N(E_F)**: 1.05 states/eV/atom

=====

2.
A geometry-optimized TiRuRh2 structure, computed with PBE.

Cell: 3.8590 3.8590 7.7201 Å, 90.00 90.00 90.00°
Closest atoms and distances in Å follow each position.
Space group I4/mmm (No. 139)
One atom of each set of equivalent atoms:
Ti (0.0000, 0.0000, 0.0000)  4 Ru 2.73, 8 Rh 2.73
Ru (0.0000, 0.0000, 0.5000)  4 Ti 2.73, 8 Rh 2.73
Rh (0.0000, 0.5000, 0.2500)  4 Rh 2.73, 4 Ru 2.73, 4 Ti 2.73

Summary:
**DFT formation energy**: -0.433 eV per atom
**N(E_F)**: 1.17 states/eV/atom

=====

3.
A geometry-optimized TiRuRh6 structure, computed with PBE.

Cell: 5.4307 5.4307 3.8603 Å, 90.00 90.00 90.00°
Closest atoms and distances in Å follow each position.
Space group P4/mmm (No. 123)
One atom of each set of equivalent atoms:
Ti (0.0000, 0.0000, 0.0000)  12 Rh 2.72-2.74
Ru (0.5000, 0.5000, 0.0000)  12 Rh 2.71-2.72
Rh (0.0000, 0.5000, 0.0000)  2 Ru 2.72, 2 Ti 2.72, 8 Rh 2.72
Rh (0.2526, 0.2526, 0.5000)  8 Rh 2.69-2.74, 2 Ru 2.71, 2 Ti 2.74

Summary:
**DFT formation energy**: -0.275 eV per atom
**N(E_F)**: 1.17 states/eV/atom

=====

4.
A geometry-optimized TiRu3Rh structure, computed with PBE.

Cell: 4.6114 4.6114 4.6114 Å, 90.00 90.00 90.00°
Closest atoms and distances in Å follow each position.
Space group Pm-3m (No. 221)
One atom of each set of equivalent atoms:
Ti (0.0000, 0.0000, 0.0000)  12 Ru 3.26
Ru (0.0000, 0.5000, 0.5000)  2 Rh 2.31
Rh (0.5000, 0.5000, 0.5000)  6 Ru 2.31

Summary:
**DFT formation energy**: 1.631 eV per atom
**N(E_F)**: 2.50 states/eV/atom
**Offset from the most stable computed form**: 356 meV/atom

=====

5.
A geometry-optimized TiRuRh2 structure, computed with PBE.

Cell: 3.8826 3.8826 7.6419 Å, 90.00 90.00 90.00°
Closest atoms and distances in Å follow each position.
Space group I-4m2 (No. 119)
One atom of each set of equivalent atoms:
Ti (0.0000, 0.0000, 0.0000)  4 Ru 2.72, 8 Rh 2.72-2.75
Ru (0.0000, 0.5000, 0.7500)  8 Rh 2.72-2.75, 4 Ti 2.72
Rh (0.0000, 0.0000, 0.5000)  4 Ru 2.72, 4 Rh 2.72, 4 Ti 2.75
Rh (0.0000, 0.5000, 0.2500)  4 Rh 2.72, 4 Ti 2.72, 4 Ru 2.75

Summary:
**DFT formation energy**: -0.387 eV per atom
**N(E_F)**: 1.39 states/eV/atom

=====

6.
A geometry-optimized TiRuRh2 structure, computed with PBE.

Cell: 9.0523 2.8094 4.6311 Å, 90.00 101.28 90.00°
Closest atoms and distances in Å follow each position.
Space group C2/m (No. 12)
One atom of each set of equivalent atoms:
Ti (0.0000, 0.0000, 0.0000)  4 Ru 2.71, 6 Rh 2.73-2.74, 2 Ti 2.81
Ru (0.0000, 0.5000, 0.5000)  4 Ti 2.71, 6 Rh 2.71-2.73, 2 Ru 2.81
Rh (0.2493, 0.0000, 0.7452)  6 Rh 2.67-2.81, 3 Ru 2.71-2.73, 3 Ti 2.73-2.74

Summary:
**DFT formation energy**: -0.350 eV per atom
**N(E_F)**: 0.82 states/eV/atom

=====

7.
A geometry-optimized Ti5RuRh4 structure, computed with PBE.

Cell: 3.1385 3.1385 15.1591 Å, 90.00 90.00 90.00°
Closest atoms and distances in Å follow each position.
Space group P4/mmm (No. 123)
One atom of each set of equivalent atoms:
Ti (0.0000, 0.0000, 0.0000)  8 Rh 2.69
Ti (0.0000, 0.0000, 0.1995)  8 Rh 2.68-2.69
Ti (0.0000, 0.0000, 0.4010)  4 Ru 2.68, 4 Rh 2.70
Ru (0.5000, 0.5000, 0.5000)  8 Ti 2.68
Rh (0.5000, 0.5000, 0.1002)  8 Ti 2.68-2.69
Rh (0.5000, 0.5000, 0.2995)  8 Ti 2.69-2.70

Summary:
**DFT formation energy**: -0.739 eV per atom
**N(E_F)**: 0.92 states/eV/atom

=====

8.
A geometry-optimized Ti4RuRh2 structure, computed with PBE.

Cell: 6.0837 6.0837 6.2104 Å, 90.00 90.00 90.00°
Closest atoms and distances in Å follow each position.
Space group I4/mmm (No. 139)
One atom of each set of equivalent atoms:
Ti (0.2500, 0.2500, 0.2500)  2 Ru 2.65, 4 Rh 2.65
Ru (0.0000, 0.0000, 0.0000)  8 Ti 2.65
Rh (0.0000, 0.5000, 0.0000)  8 Ti 2.65

Summary:
**DFT formation energy**: -0.514 eV per atom
**N(E_F)**: 0.86 states/eV/atom